Record 1
# Sc2TcAsIr (PBE-GGA, optimized geometry)
# N(E_F) in states/eV/cell: 5.0
# Calculated density in g/cm³: 6.96
# Spin magnetization in μB per cell: 2.07
# ΔE_f in kJ per mole of atoms: 44
data_Sc2TcAsIr
_space_group_name_H-M_alt 'P 1'
_space_group_IT_number 1
_cell_length_a 4.9145
_cell_length_b 4.4952
_cell_length_c 4.9145
_cell_angle_alpha 90.00
_cell_angle_beta 90.00
_cell_angle_gamma 90.00
loop_
_space_group_symop_operation_xyz
'x,y,z'
loop_
_atom_site_label
_atom_site_type_symbol
_atom_site_fract_x
_atom_site_fract_y
_atom_site_fract_z
Sc1 Sc 0.0000 0.0000 0.5000
Sc2 Sc 0.5000 0.0000 0.0000
As1 As 0.0000 0.0000 0.0000
Ir1 Ir 0.0000 0.5000 0.0000
Tc1 Tc 0.5000 0.5000 0.5000


Record 2
# ScVAsIr2 (PBE-GGA, optimized geometry)
# N(E_F) in states/eV/cell: 9.2
# Calculated density in g/cm³: 9.30
# Spin magnetization in μB per cell: 0.40
# ΔE_f in kJ per mole of atoms: 76
data_ScVAsIr2
_space_group_name_H-M_alt 'P 1'
_space_group_IT_number 1
_cell_length_a 4.5549
_cell_length_b 4.7782
_cell_length_c 4.5549
_cell_angle_alpha 90.00
_cell_angle_beta 90.00
_cell_angle_gamma 90.00
loop_
_space_group_symop_operation_xyz
'x,y,z'
loop_
_atom_site_label
_atom_site_type_symbol
_atom_site_fract_x
_atom_site_fract_y
_atom_site_fract_z
Sc1 Sc 0.0000 0.5000 0.0000
As1 As 0.0000 0.0000 0.0000
Ir1 Ir 0.0000 0.0000 0.5000
Ir2 Ir 0.5000 0.0000 0.0000
V1 V 0.5000 0.5000 0.5000


Record 3
# YSc2AsIr (PBE-GGA, optimized geometry)
# N(E_F) in states/eV/cell: 6.0
# Calculated density in g/cm³: 5.71
# Spin magnetization in μB per cell: 0.27
# ΔE_f in kJ per mole of atoms: 128
data_YSc2AsIr
_space_group_name_H-M_alt 'P 1'
_space_group_IT_number 1
_cell_length_a 5.0689
_cell_length_b 5.0459
_cell_length_c 5.0689
_cell_angle_alpha 90.00
_cell_angle_beta 90.00
_cell_angle_gamma 90.00
loop_
_space_group_symop_operation_xyz
'x,y,z'
loop_
_atom_site_label
_atom_site_type_symbol
_atom_site_fract_x
_atom_site_fract_y
_atom_site_fract_z
Y1 Y 0.0000 0.0000 0.0000
Sc1 Sc 0.0000 0.0000 0.5000
Sc2 Sc 0.5000 0.0000 0.0000
As1 As 0.0000 0.5000 0.0000
Ir1 Ir 0.5000 0.5000 0.5000


Record 4
# AsIrSe4 (PBE-GGA, optimized geometry)
# N(E_F) in states/eV/cell: 6.9
# Calculated density in g/cm³: 8.06
# E above lowest polymorph in meV per atom: 1181
# Spin magnetization in μB per cell: 0.00
# Energy relative to the elements, uncorrected in kJ/mol of formula units: 703
data_AsIrSe4
_space_group_name_H-M_alt 'P 1'
_space_group_IT_number 1
_cell_length_a 5.5376
_cell_length_b 5.5376
_cell_length_c 5.5376
_cell_angle_alpha 60.00
_cell_angle_beta 60.00
_cell_angle_gamma 60.00
loop_
_space_group_symop_operation_xyz
'x,y,z'
loop_
_atom_site_label
_atom_site_type_symbol
_atom_site_fract_x
_atom_site_fract_y
_atom_site_fract_z
As1 As 0.7500 0.7500 0.7500
Ir1 Ir 0.0000 0.0000 0.0000
Se1 Se 0.8813 0.3729 0.3729
Se2 Se 0.3729 0.3729 0.8813
Se3 Se 0.3729 0.8813 0.3729
Se4 Se 0.3729 0.3729 0.3729


Record 5
# As3IrSe (PBE-GGA, optimized geometry)
# N(E_F) in states/eV/cell: 6.2
# Calculated density in g/cm³: 7.18
# E above lowest polymorph in meV per atom: 0
# Spin magnetization in μB per cell: 0.00
# Energy relative to the elements, uncorrected in kJ/mol of formula units: 294
data_As3IrSe
_space_group_name_H-M_alt 'P 1'
_space_group_IT_number 1
_cell_length_a 4.8580
_cell_length_b 4.8580
_cell_length_c 4.8580
_cell_angle_alpha 90.00
_cell_angle_beta 90.00
_cell_angle_gamma 90.00
loop_
_space_group_symop_operation_xyz
'x,y,z'
loop_
_atom_site_label
_atom_site_type_symbol
_atom_site_fract_x
_atom_site_fract_y
_atom_site_fract_z
As1 As 0.0000 0.5000 0.0000
As2 As 0.0000 0.0000 0.5000
As3 As 0.5000 0.0000 0.0000
Ir1 Ir 0.0000 0.0000 0.0000
Se1 Se 0.5000 0.5000 0.5000


Record 6
# As2Ir2Se (PBE-GGA, optimized geometry)
# N(E_F) in states/eV/cell: 5.6
# Calculated density in g/cm³: 11.63
# E above lowest polymorph in meV per atom: 230
# Spin magnetization in μB per cell: 0.00
# Energy relative to the elements, uncorrected in kJ/mol of formula units: 177
data_As2Ir2Se
_space_group_name_H-M_alt 'P 1'
_space_group_IT_number 1
_cell_length_a 7.8081
_cell_length_b 7.8081
_cell_length_c 2.8720
_cell_angle_alpha 90.00
_cell_angle_beta 90.00
_cell_angle_gamma 90.00
loop_
_space_group_symop_operation_xyz
'x,y,z'
loop_
_atom_site_label
_atom_site_type_symbol
_atom_site_fract_x
_atom_site_fract_y
_atom_site_fract_z
As1 As 0.3521 0.8521 0.0000
As2 As 0.8521 0.6479 0.0000
As3 As 0.6479 0.1479 0.0000
As4 As 0.1479 0.3521 0.0000
Ir1 Ir 0.1291 0.6291 0.5000
Ir2 Ir 0.6291 0.8709 0.5000
Ir3 Ir 0.8709 0.3709 0.5000
Ir4 Ir 0.3709 0.1291 0.5000
Se1 Se 0.0000 0.0000 0.0000
Se2 Se 0.5000 0.5000 0.0000


Record 7
# AsIr4Se (PBE-GGA, optimized geometry)
# N(E_F) in states/eV/cell: 8.7
# Calculated density in g/cm³: 14.90
# Spin magnetization in μB per cell: 0.00
# Energy relative to the elements, uncorrected in kJ/mol of formula units: 478
data_AsIr4Se
_space_group_name_H-M_alt 'P 1'
_space_group_IT_number 1
_cell_length_a 5.2591
_cell_length_b 5.2591
_cell_length_c 5.2591
_cell_angle_alpha 60.00
_cell_angle_beta 60.00
_cell_angle_gamma 60.00
loop_
_space_group_symop_operation_xyz
'x,y,z'
loop_
_atom_site_label
_atom_site_type_symbol
_atom_site_fract_x
_atom_site_fract_y
_atom_site_fract_z
As1 As 0.0000 0.0000 0.0000
Ir1 Ir 0.8756 0.3748 0.3748
Ir2 Ir 0.3748 0.3748 0.8756
Ir3 Ir 0.3748 0.8756 0.3748
Ir4 Ir 0.3748 0.3748 0.3748
Se1 Se 0.7500 0.7500 0.7500


Record 8
# As4IrSe (PBE-GGA, optimized geometry)
# N(E_F) in states/eV/cell: 5.5
# Calculated density in g/cm³: 8.23
# Spin magnetization in μB per cell: 0.00
# Energy relative to the elements, uncorrected in kJ/mol of formula units: 532
data_As4IrSe
_space_group_name_H-M_alt 'P 1'
_space_group_IT_number 1
_cell_length_a 5.4617
_cell_length_b 5.4617
_cell_length_c 5.4617
_cell_angle_alpha 60.00
_cell_angle_beta 60.00
_cell_angle_gamma 60.00
loop_
_space_group_symop_operation_xyz
'x,y,z'
loop_
_atom_site_label
_atom_site_type_symbol
_atom_site_fract_x
_atom_site_fract_y
_atom_site_fract_z
As1 As 0.8753 0.3749 0.3749
As2 As 0.3749 0.3749 0.8753
As3 As 0.3749 0.8753 0.3749
As4 As 0.3749 0.3749 0.3749
Ir1 Ir 0.7500 0.7500 0.7500
Se1 Se 0.0000 0.0000 0.0000